[1]
The following is a PBE-GGA calculation of a relaxed NdPuCuNi crystal, from Alexandria via LeMat-Bulk.

Calculated values
Fermi-level density of states   12.18 states/eV/cell
Energy relative to the elements   -0.03 eV per atom
Magnetization   5.6 μB/f.u.
V   21.07 A^3/atom

abc: 4.9216 4.9216 4.9216
angles: 60.00 60.00 60.00
Site moments in Bohr magnetons follow the coordinates.
Element x y z (fractional)
Cu (0.2500, 0.2500, 0.2500)  0.03
Pu (0.5000, 0.5000, 0.5000)  5.29
Ni (0.7500, 0.7500, 0.7500)  -0.14
Nd (0.0000, 0.0000, 0.0000)  0.08

---

[2]
The following is a PBE-GGA calculation of a relaxed Nd2PuCu12Ni3 crystal, from Alexandria via LeMat-Bulk.

Calculated values
Fermi-level density of states   27.14 states/eV/cell
Energy relative to the elements   0.45 eV per atom
Magnetization   5.8 μB/f.u.
V   19.60 A^3/atom

abc: 7.9339 7.9339 7.9339
angles: 59.97 59.97 59.97
Site moments in Bohr magnetons follow the coordinates.
Element x y z (fractional)
Cu (0.6555, 0.1348, 0.6555)  0.00
Cu (0.1721, 0.4893, 0.1721)  0.00
Nd (0.5922, 0.5922, 0.5922)  -0.01
Ni (0.0000, 0.5000, 0.0000)  0.04
Cu (0.1348, 0.6555, 0.6555)  0.00
Cu (0.8279, 0.5107, 0.8279)  0.00
Cu (0.8279, 0.8279, 0.5107)  0.00
Ni (0.0000, 0.0000, 0.5000)  0.04
Cu (0.4893, 0.1721, 0.1721)  0.00
Cu (0.3445, 0.8652, 0.3445)  0.00
Pu (0.0000, 0.0000, 0.0000)  -5.56
Cu (0.6555, 0.6555, 0.1348)  0.00
Cu (0.5107, 0.8279, 0.8279)  0.00
Cu (0.3445, 0.3445, 0.8652)  0.00
Ni (0.5000, 0.0000, 0.0000)  0.04
Cu (0.1721, 0.1721, 0.4893)  0.00
Nd (0.4078, 0.4078, 0.4078)  -0.01
Cu (0.8652, 0.3445, 0.3445)  0.00

---

[3]
The following is a PBE-GGA calculation of a relaxed Nd2CuSi3Ni12 crystal, from Alexandria via LeMat-Bulk.

Calculated values
Fermi-level density of states   12.39 states/eV/cell
Magnetization   0.0 μB/f.u.
Calculated total energy   -100.50 eV/cell
V   13.75 A^3/atom

abc: 6.3047 6.3047 6.3047
angles: 84.67 84.67 84.67
Element x y z (fractional)
Ni (0.0971, 0.6175, 0.6175)
Si (0.0000, 0.5000, 0.0000)
Ni (0.9029, 0.3825, 0.3825)
Nd (0.3487, 0.3487, 0.3487)
Ni (0.2940, 0.8154, 0.8154)
Ni (0.1846, 0.1846, 0.7060)
Si (0.5000, 0.0000, 0.0000)
Ni (0.8154, 0.8154, 0.2940)
Ni (0.3825, 0.3825, 0.9029)
Si (0.0000, 0.0000, 0.5000)
Nd (0.6513, 0.6513, 0.6513)
Ni (0.3825, 0.9029, 0.3825)
Ni (0.1846, 0.7060, 0.1846)
Ni (0.6175, 0.0971, 0.6175)
Ni (0.8154, 0.2940, 0.8154)
Ni (0.7060, 0.1846, 0.1846)
Ni (0.6175, 0.6175, 0.0971)
Cu (0.0000, 0.0000, 0.0000)

---

[4]
The following is a PBE-GGA calculation of a relaxed Nd2CuSi3Ni4 crystal, from Alexandria via LeMat-Bulk.

Calculated values
Fermi-level density of states   6.44 states/eV/cell
Magnetization   0.0 μB/f.u.
Calculated total energy   -59.65 eV/cell
V   15.80 A^3/atom

abc: 4.0979 4.0979 9.4093
angles: 90.00 90.00 90.00
Element x y z (fractional)
Ni (0.0000, 0.5000, 0.3696)
Ni (0.5000, 0.5000, 0.0000)
Si (0.5000, 0.0000, 0.8769)
Ni (0.0000, 0.0000, 0.0000)
Cu (0.5000, 0.5000, 0.5000)
Ni (0.5000, 0.0000, 0.6304)
Si (0.0000, 0.0000, 0.5000)
Nd (0.5000, 0.0000, 0.2525)
Si (0.0000, 0.5000, 0.1231)
Nd (0.0000, 0.5000, 0.7475)

---

[5]
The following is a PBE-GGA calculation of a relaxed Nd2CuSi4Ni3 crystal, from Alexandria via LeMat-Bulk.

Calculated values
Fermi-level density of states   4.37 states/eV/cell
Magnetization   0.0 μB/f.u.
Calculated total energy   -60.16 eV/cell
V   15.90 A^3/atom

abc: 4.0613 4.0613 9.6385
angles: 90.00 90.00 90.00
Element x y z (fractional)
Nd (0.5000, 0.0000, 0.2478)
Ni (0.5000, 0.0000, 0.8801)
Si (0.0000, 0.0000, 0.0000)
Si (0.5000, 0.0000, 0.6333)
Ni (0.0000, 0.0000, 0.5000)
Nd (0.0000, 0.5000, 0.7522)
Si (0.5000, 0.5000, 0.0000)
Si (0.0000, 0.5000, 0.3667)
Cu (0.5000, 0.5000, 0.5000)
Ni (0.0000, 0.5000, 0.1199)

---

[6]
The following is a PBE-GGA calculation of a relaxed Nd2Cu3SiNi12 crystal, from Alexandria via LeMat-Bulk.

Calculated values
Fermi-level density of states   20.16 states/eV/cell
Magnetization   0.0 μB/f.u.
Calculated total energy   -94.32 eV/cell
V   14.58 A^3/atom

abc: 9.0664 9.0664 9.0664
angles: 38.75 38.75 38.75
Element x y z (fractional)
Nd (0.3462, 0.3462, 0.3462)
Ni (0.1890, 0.5784, 0.5784)
Cu (0.0000, 0.5000, 0.0000)
Ni (0.9314, 0.3460, 0.9314)
Ni (0.9314, 0.9314, 0.3460)
Si (0.0000, 0.0000, 0.0000)
Ni (0.6540, 0.0686, 0.0686)
Ni (0.0686, 0.0686, 0.6540)
Nd (0.6538, 0.6538, 0.6538)
Ni (0.0686, 0.6540, 0.0686)
Ni (0.3460, 0.9314, 0.9314)
Cu (0.0000, 0.0000, 0.5000)
Ni (0.4216, 0.4216, 0.8110)
Ni (0.5784, 0.5784, 0.1890)
Ni (0.4216, 0.8110, 0.4216)
Ni (0.5784, 0.1890, 0.5784)
Ni (0.8110, 0.4216, 0.4216)
Cu (0.5000, 0.0000, 0.0000)

---

[7]
The following is a PBE-GGA calculation of a relaxed Nd2CuNi4Sn3 crystal, from Alexandria via LeMat-Bulk.

Calculated values
Fermi-level density of states   6.81 states/eV/cell
Energy relative to the elements   -0.44 eV per atom
Magnetization   0.0 μB/f.u.
V   19.25 A^3/atom

abc: 4.4012 4.4012 9.9402
angles: 90.00 90.00 90.00
Element x y z (fractional)
Ni (0.0000, 0.0000, 0.0000)
Cu (0.5000, 0.5000, 0.5000)
Nd (0.0000, 0.5000, 0.7484)
Sn (0.0000, 0.5000, 0.1288)
Sn (0.0000, 0.0000, 0.5000)
Ni (0.5000, 0.0000, 0.6206)
Ni (0.0000, 0.5000, 0.3794)
Nd (0.5000, 0.0000, 0.2516)
Ni (0.5000, 0.5000, 0.0000)
Sn (0.5000, 0.0000, 0.8712)

---

[8]
The following is a PBE-GGA calculation of a relaxed Nd2Cu3NiSn4 crystal, from Alexandria via LeMat-Bulk.

Calculated values
Fermi-level density of states   5.78 states/eV/cell
Energy relative to the elements   -0.43 eV per atom
Magnetization   0.0 μB/f.u.
V   21.13 A^3/atom

abc: 4.4762 4.4762 10.5460
angles: 90.00 90.00 90.00
Element x y z (fractional)
Nd (0.0000, 0.5000, 0.7355)
Cu (0.0000, 0.0000, 0.5000)
Nd (0.5000, 0.0000, 0.2645)
Sn (0.5000, 0.0000, 0.6212)
Sn (0.0000, 0.5000, 0.3788)
Sn (0.5000, 0.5000, 0.0000)
Ni (0.5000, 0.5000, 0.5000)
Cu (0.0000, 0.5000, 0.1380)
Sn (0.0000, 0.0000, 0.0000)
Cu (0.5000, 0.0000, 0.8620)